Record 1
Entry from Alexandria via LeMat-Bulk: crystalline ZnIBr2 at its relaxed geometry (PBE-GGA).

Values from the calculation:
**Theoretical density**: 3.26 g cm⁻³
**Space group**: P1
**ΔE to the lowest computed polymorph**: 35 meV per atom
**ΔE_f (raw)**: -0.6011 eV per atom

Lattice parameters (Å, degrees): 6.6792 7.2091 8.7747 107.28 90.31 115.65
Last column: nearest neighbours and their distance in Å.
Sites, in units of the cell vectors:
I (0.3589, 0.7965, 0.0840)  2 Zn 2.64-2.65
I (0.8782, 0.9490, 0.4717)  2 Br 2.71-2.77
Zn (0.0188, 0.4371, 0.8931)  3 Br 2.42-2.50, 1 I 2.64
Zn (0.4536, 0.4739, 0.0799)  3 Br 2.42-2.49, 1 I 2.65
Br (0.6411, 0.5003, 0.3275)  1 Zn 2.42
Br (0.6453, 0.4031, 0.8458)  2 Zn 2.42-2.47
Br (0.1154, 0.3863, 0.6138)  1 Zn 2.50, 1 I 2.71
Br (0.0632, 0.1719, 0.9957)  2 Zn 2.46-2.49

=====

Record 2
Entry from Alexandria via LeMat-Bulk: crystalline Ba3CdGe2O8 at its relaxed geometry (PBE-GGA).

Values from the calculation:
**Theoretical density**: 5.70 g cm⁻³
**Space group**: P-3m1
**ΔE_f (raw)**: -2.1692 eV per atom

Lattice parameters (Å, degrees): 5.9423 5.9423 7.5993 90.00 90.00 120.00
Last column: nearest neighbours and their distance in Å.
Sites, in units of the cell vectors:
Ba (0.3333, 0.6667, 0.6610)  1 O 2.48
Ba (0.6667, 0.3333, 0.3390)  1 O 2.48
Ba (0.0000, 0.0000, 0.0000)  6 O 2.93
Cd (0.0000, 0.0000, 0.5000)  6 O 2.31
Ge (0.3333, 0.6667, 0.2156)  4 O 1.74-1.79
Ge (0.6667, 0.3333, 0.7844)  4 O 1.74-1.79
O (0.3333, 0.6667, 0.9872)  1 Ge 1.74
O (0.6667, 0.3333, 0.0128)  1 Ge 1.74
O (0.1726, 0.8274, 0.3060)  1 Ge 1.79
O (0.8274, 0.1726, 0.6940)  1 Ge 1.79
O (0.1726, 0.3452, 0.3060)  1 Ge 1.79
O (0.8274, 0.6548, 0.6940)  1 Ge 1.79
O (0.6548, 0.8274, 0.3060)  1 Ge 1.79
O (0.3452, 0.1726, 0.6940)  1 Ge 1.79